The following is a DFT calculation (PBE) of an optimized crystal structure of YNpI2.

Energy relative to the elements, uncorrected ... -0.253 eV/atom
M_tot ... 16.799 Bohr magnetons per cell
Total energy ... -5.8788 eV/atom

a b c (Å): 3.7715 3.7715 32.7112
angles (deg): 90.00 90.00 120.00
Space group R-3m (No. 166, hexagonal axes)
Symmetry-distinct sites (fractional):
1 Y 0.0000 0.0000 0.0000 x3
2 Np 0.0000 0.0000 0.5000 x3
3 I 0.0000 0.0000 0.4011 x6